Record 1
A plane-wave DFT calculation with PBE was carried out for LiCdNF2 after structural relaxation.

```
data_LiCdNF2
_cell_length_a 3.6743
_cell_length_b 3.6743
_cell_length_c 4.2311
_cell_angle_alpha 90.00
_cell_angle_beta 90.00
_cell_angle_gamma 90.00
_space_group_name_H-M_alt 'P 4/m m m'
_space_group_IT_number 123
_space_group_name_Hall '-P 4 2'
loop_
_atom_site_label
_atom_site_type_symbol
_atom_site_fract_x
_atom_site_fract_y
_atom_site_fract_z
Li1 Li 0.0000 0.0000 0.0000
Cd1 Cd 0.5000 0.5000 0.5000
N1 N 0.0000 0.0000 0.5000
F1 F 0.0000 0.5000 0.0000
```

---

Record 2
A plane-wave DFT calculation with PBE was carried out for LiCdNF2 after structural relaxation.

```
data_LiCdNF2
_cell_length_a 4.5637
_cell_length_b 4.5637
_cell_length_c 4.3291
_cell_angle_alpha 90.00
_cell_angle_beta 90.00
_cell_angle_gamma 90.00
_space_group_name_H-M_alt 'P 4/m m m'
_space_group_IT_number 123
_space_group_name_Hall '-P 4 2'
loop_
_atom_site_label
_atom_site_type_symbol
_atom_site_fract_x
_atom_site_fract_y
_atom_site_fract_z
Li1 Li 0.0000 0.0000 0.0000
Cd1 Cd 0.5000 0.5000 0.5000
N1 N 0.5000 0.5000 0.0000
F1 F 0.0000 0.5000 0.5000
```

---

Record 3
A plane-wave DFT calculation with PBE was carried out for LiCdN2F after structural relaxation.

```
data_LiCdN2F
_cell_length_a 4.1175
_cell_length_b 4.1175
_cell_length_c 3.5324
_cell_angle_alpha 90.00
_cell_angle_beta 90.00
_cell_angle_gamma 90.00
_space_group_name_H-M_alt 'P 4/m m m'
_space_group_IT_number 123
_space_group_name_Hall '-P 4 2'
loop_
_atom_site_label
_atom_site_type_symbol
_atom_site_fract_x
_atom_site_fract_y
_atom_site_fract_z
Li1 Li 0.0000 0.0000 0.0000
Cd1 Cd 0.5000 0.5000 0.5000
N1 N 0.0000 0.5000 0.0000
F1 F 0.0000 0.0000 0.5000
```

---

Record 4
A plane-wave DFT calculation with PBE was carried out for LiCdN2F after structural relaxation.

```
data_LiCdN2F
_cell_length_a 4.3150
_cell_length_b 4.3150
_cell_length_c 4.6365
_cell_angle_alpha 90.00
_cell_angle_beta 90.00
_cell_angle_gamma 90.00
_space_group_name_H-M_alt 'P 4/m m m'
_space_group_IT_number 123
_space_group_name_Hall '-P 4 2'
loop_
_atom_site_label
_atom_site_type_symbol
_atom_site_fract_x
_atom_site_fract_y
_atom_site_fract_z
Li1 Li 0.0000 0.0000 0.0000
Cd1 Cd 0.5000 0.5000 0.5000
N1 N 0.0000 0.5000 0.5000
F1 F 0.5000 0.5000 0.0000
```

---

Record 5
A plane-wave DFT calculation with PBE was carried out for NaLiCd2F6 after structural relaxation.

```
data_NaLiCd2F6
_cell_length_a 5.6480
_cell_length_b 5.6480
_cell_length_c 15.0469
_cell_angle_alpha 90.00
_cell_angle_beta 90.00
_cell_angle_gamma 120.00
_space_group_name_H-M_alt 'R 3'
_space_group_IT_number 146
_space_group_name_Hall 'R 3'
loop_
_atom_site_label
_atom_site_type_symbol
_atom_site_fract_x
_atom_site_fract_y
_atom_site_fract_z
Na1 Na 0.0000 0.0000 0.0000
Li1 Li 0.0000 0.0000 0.4934
Cd1 Cd 0.0000 0.0000 0.2855
Cd2 Cd 0.0000 0.0000 0.7895
F1 F 0.0011 0.7136 0.3952
F2 F 0.0314 0.3422 0.5561
```

---

Record 6
A plane-wave DFT calculation with PBE was carried out for NaLi2CdF after structural relaxation.

```
data_NaLi2CdF
_cell_length_a 4.3345
_cell_length_b 4.3345
_cell_length_c 4.7136
_cell_angle_alpha 90.00
_cell_angle_beta 90.00
_cell_angle_gamma 90.00
_space_group_name_H-M_alt 'P 4/m m m'
_space_group_IT_number 123
_space_group_name_Hall '-P 4 2'
loop_
_atom_site_label
_atom_site_type_symbol
_atom_site_fract_x
_atom_site_fract_y
_atom_site_fract_z
Na1 Na 0.0000 0.0000 0.0000
Li1 Li 0.0000 0.5000 0.5000
Cd1 Cd 0.5000 0.5000 0.0000
F1 F 0.0000 0.0000 0.5000
```

---

Record 7
A plane-wave DFT calculation with PBE was carried out for NaLi2CdF6 after structural relaxation.

```
data_NaLi2CdF6
_cell_length_a 9.4266
_cell_length_b 9.9755
_cell_length_c 5.9247
_cell_angle_alpha 90.00
_cell_angle_beta 102.89
_cell_angle_gamma 90.00
_space_group_name_H-M_alt 'C 1 2/c 1'
_space_group_IT_number 15
loop_
_space_group_symop_operation_xyz
'x,y,z'
'-x,-y,-z'
'-x,y,-z+1/2'
'x,-y,z+1/2'
'x+1/2,y+1/2,z'
'-x+1/2,-y+1/2,-z'
'-x+1/2,y+1/2,-z+1/2'
'x+1/2,-y+1/2,z+1/2'
loop_
_atom_site_label
_atom_site_type_symbol
_atom_site_fract_x
_atom_site_fract_y
_atom_site_fract_z
Na1 Na 0.0000 0.2226 0.2500
Li1 Li 0.1737 0.0873 0.7717
Cd1 Cd 0.0000 0.4078 0.7500
F1 F 0.1085 0.0548 0.0554
F2 F 0.1214 0.4199 0.1316
F3 F 0.1313 0.2547 0.6322
```

---

Number 1: DOS(E_F) 1.34 states/eV/cell, total DFT energy (no corrections) -18.748 eV/cell. Number 2: DOS(E_F) 1.21 states/eV/cell, total DFT energy (no corrections) -18.213 eV/cell. Number 3: DOS(E_F) 1.28 states/eV/cell, total DFT energy (no corrections) -18.041 eV/cell. Number 4: DOS(E_F) 1.68 states/eV/cell, total DFT energy (no corrections) -17.827 eV/cell. Number 5: DOS(E_F) 0.00 states/eV/cell, total DFT energy (no corrections) -122.061 eV/cell. Number 6: DOS(E_F) 2.63 states/eV/cell, total DFT energy (no corrections) -13.200 eV/cell. Number 7: DOS(E_F) 20.87 states/eV/cell, total DFT energy (no corrections) -162.920 eV/cell.